Here is a relaxed Li4V5O9F crystal from the Alexandria database. Energies are from PBE+U.

Results
The calculated total energy comes out at -6.680 eV per atom. The calculation puts the distance to the lowest polymorph of the same formula at 0.2700 eV/atom. Its volume is 271 Å³/f.u.

Unit cell a=5.136 b=5.593 c=9.898 alpha=97.03 beta=90.25 gamma=105.99
Space group P1 (No. 1)
Inequivalent atoms, fractional coordinates:
Li (0.000, 0.000, 0.000) (multiplicity 1)
Li (0.007, 0.931, 0.306) (multiplicity 1)
Li (0.480, 0.906, 0.819) (multiplicity 1)
Li (0.590, 0.361, 0.357) (multiplicity 1)
V (0.039, 0.459, 0.200) (multiplicity 1)
V (0.120, 0.587, 0.542) (multiplicity 1)
V (0.223, 0.187, 0.692) (multiplicity 1)
V (0.525, 0.019, 0.125) (multiplicity 1)
V (0.527, 0.446, 0.998) (multiplicity 1)
O (0.167, 0.794, 0.145) (multiplicity 1)
O (0.290, 0.162, 0.877) (multiplicity 1)
O (0.331, 0.895, 0.632) (multiplicity 1)
O (0.362, 0.325, 0.169) (multiplicity 1)
O (0.616, 0.787, 0.971) (multiplicity 1)
O (0.782, 0.124, 0.271) (multiplicity 1)
O (0.815, 0.301, 0.035) (multiplicity 1)
O (0.943, 0.615, 0.381) (multiplicity 1)
O (0.983, 0.370, 0.677) (multiplicity 1)
F (0.328, 0.329, 0.491) (multiplicity 1)